Version w
## InNi2Rh2 (GGA-PBE)

Data for crystalline InNi2Rh2 at its relaxed geometry.

Cell: 7.0154 7.0154 2.9524 Å, 90.00 90.00 90.00°
Last column: nearest neighbours and their distance in Å.
Positions (direct):
In1 0.0000 0.0000 0.0000  4 Ni 2.80, 2 In 2.95, 8 Rh 2.98
In2 0.5000 0.5000 0.0000  4 Ni 2.80, 2 In 2.95, 8 Rh 2.98
Ni1 0.1198 0.3802 0.0000  1 Ni 2.38, 6 Rh 2.52-2.57
Ni2 0.3802 0.8802 0.0000  1 Ni 2.38, 6 Rh 2.52-2.57
Ni3 0.6198 0.1198 0.0000  1 Ni 2.38, 6 Rh 2.52-2.57
Ni4 0.8802 0.6198 0.0000  1 Ni 2.38, 6 Rh 2.52-2.57
Rh1 0.1743 0.6743 0.5000  6 Ni 2.52-2.57
Rh2 0.3257 0.1743 0.5000  6 Ni 2.52-2.57
Rh3 0.6743 0.8257 0.5000  6 Ni 2.52-2.57
Rh4 0.8257 0.3257 0.5000  6 Ni 2.52-2.57

Calculated values
As for the symmetry: P4/mbm (127). The crystal system is tetragonal.

***

Version x
## InNi2Rh2 (GGA-PBE)

Data for crystalline InNi2Rh2 at its relaxed geometry.

Cell: 7.1233 7.1233 2.9036 Å, 90.00 90.00 90.00°
Last column: nearest neighbours and their distance in Å.
Positions (direct):
In1 0.0000 0.0000 0.0000  4 Rh 2.79, 2 In 2.90, 8 Ni 3.03
In2 0.5000 0.5000 0.0000  4 Rh 2.79, 2 In 2.90, 8 Ni 3.03
Ni1 0.1643 0.3357 0.5000  6 Rh 2.52-2.57
Ni2 0.3357 0.8357 0.5000  6 Rh 2.52-2.57
Ni3 0.6643 0.1643 0.5000  6 Rh 2.52-2.57
Ni4 0.8357 0.6643 0.5000  6 Rh 2.52-2.57
Rh1 0.1318 0.6318 0.0000  6 Ni 2.52-2.57, 1 Rh 2.66, 2 In 2.79
Rh2 0.3682 0.1318 0.0000  6 Ni 2.52-2.57, 1 Rh 2.66, 2 In 2.79
Rh3 0.6318 0.8682 0.0000  6 Ni 2.52-2.57, 1 Rh 2.66, 2 In 2.79
Rh4 0.8682 0.3682 0.0000  6 Ni 2.52-2.57, 1 Rh 2.66, 2 In 2.79

Calculated values
As for the symmetry: P4/mbm (127). The crystal system is tetragonal.

***

Version y
## InNi2Rh2 (GGA-PBE)

Data for crystalline InNi2Rh2 at its relaxed geometry.

Cell: 6.3133 6.3133 6.3133 Å, 146.17 146.17 48.60°
Last column: nearest neighbours and their distance in Å.
Positions (direct):
In1 0.0000 0.0000 0.0000  8 Ni 2.84
Ni1 0.4008 0.4008 0.0000  1 Ni 2.28, 4 Rh 2.53
Ni2 0.5992 0.5992 0.0000  1 Ni 2.28, 4 Rh 2.53
Rh1 0.2500 0.7500 0.5000  4 Ni 2.53, 4 Rh 2.60
Rh2 0.7500 0.2500 0.5000  4 Ni 2.53, 4 Rh 2.60

Calculated values
As for the symmetry: I4/mmm (139). The crystal system is tetragonal.

***

Least stable of them? version y.

***

Version w
## In2Ni2Ru (GGA-PBE)

Data for crystalline In2Ni2Ru at its relaxed geometry.

Cell: 5.0198 5.0198 5.0198 Å, 122.75 122.75 85.29°
Last column: nearest neighbours and their distance in Å.
Positions (direct):
In1 0.2500 0.7500 0.5000  4 Ni 2.52
In2 0.7500 0.2500 0.5000  4 Ni 2.52
Ni1 0.1490 0.1490 0.0000  1 Ni 2.20
Ni2 0.8510 0.8510 0.0000  1 Ni 2.20
Ru1 0.5000 0.5000 0.0000  2 Ni 2.59

Calculated values
As for the symmetry: I4/mmm (139). The crystal system is tetragonal.

***

Version x
## In2Ni2Ru (GGA-PBE)

Data for crystalline In2Ni2Ru at its relaxed geometry.

Cell: 6.7078 6.7078 3.4828 Å, 90.00 90.00 90.00°
Last column: nearest neighbours and their distance in Å.
Positions (direct):
In1 0.1774 0.3226 0.0000  6 Ni 2.57-2.69
In2 0.3226 0.8226 0.0000  6 Ni 2.57-2.69
In3 0.6774 0.1774 0.0000  6 Ni 2.57-2.69
In4 0.8226 0.6774 0.0000  6 Ni 2.57-2.69
Ni1 0.1237 0.6237 0.5000  1 Ni 2.35, 2 In 2.57
Ni2 0.3763 0.1237 0.5000  1 Ni 2.35, 2 In 2.57
Ni3 0.6237 0.8763 0.5000  1 Ni 2.35, 2 In 2.57
Ni4 0.8763 0.3763 0.5000  1 Ni 2.35, 2 In 2.57
Ru1 0.0000 0.0000 0.5000  4 Ni 2.66
Ru2 0.5000 0.5000 0.5000  4 Ni 2.66

Calculated values
As for the symmetry: P4/mbm (127). The crystal system is tetragonal.

***

Least stable of them? version w.

***

Version w
## InNiS (GGA-PBE)

Data for crystalline InNiS at its relaxed geometry.

Cell: 5.5999 3.6260 6.4559 Å, 90.00 115.19 90.00°
Last column: nearest neighbours and their distance in Å.
Positions (direct):
In1 0.0000 0.0000 0.0000  2 Ni 2.62-2.66
In2 0.4011 0.5000 0.3811  3 S 2.64-2.69
Ni1 0.1580 0.0000 0.6651  3 S 2.16-2.25, 1 Ni 2.42
Ni2 0.5464 0.0000 0.0265  3 S 2.21-2.24, 1 Ni 2.42
S1 0.4155 0.5000 0.8030  4 Ni 2.24-2.25
S2 0.7556 0.0000 0.4044  2 Ni 2.16-2.21

Calculated values
As for the symmetry: Pm (6). The crystal system is monoclinic.

***

Version x
## InNiS (GGA-PBE)

Data for crystalline InNiS at its relaxed geometry.

Cell: 5.9536 5.9536 5.9536 Å, 90.00 90.00 90.00°
Last column: nearest neighbours and their distance in Å.
Positions (direct):
In1 0.1293 0.3707 0.6293  1 S 2.70, 3 Ni 2.71
In2 0.3707 0.6293 0.1293  1 S 2.70, 3 Ni 2.71
In3 0.6293 0.1293 0.3707  1 S 2.70, 3 Ni 2.71
In4 0.8707 0.8707 0.8707  1 S 2.70, 3 Ni 2.71
Ni1 0.0426 0.9574 0.4574  3 S 2.26
Ni2 0.4574 0.0426 0.9574  3 S 2.26
Ni3 0.5426 0.5426 0.5426  3 S 2.26
Ni4 0.9574 0.4574 0.0426  3 S 2.26
S1 0.1325 0.1325 0.1325  3 Ni 2.26
S2 0.3675 0.8675 0.6325  3 Ni 2.26
S3 0.6325 0.3675 0.8675  3 Ni 2.26
S4 0.8675 0.6325 0.3675  3 Ni 2.26

Calculated values
As for the symmetry: P2_13 (198). The crystal system is cubic.

***

Least stable of them? version w.

***

Version w
## InNi3S (GGA-PBE)

Data for crystalline InNi3S at its relaxed geometry.

Cell: 4.6750 4.6750 4.6750 Å, 90.00 90.00 90.00°
Last column: nearest neighbours and their distance in Å.
Positions (direct):
In1 0.0000 0.0000 0.0000  6 Ni 2.34
Ni1 0.0000 0.0000 0.5000  2 In 2.34
Ni2 0.0000 0.5000 0.0000  2 In 2.34
Ni3 0.5000 0.0000 0.0000  2 In 2.34
S1 0.5000 0.5000 0.5000  12 Ni 3.31

Calculated values
As for the symmetry: Pm-3m (221). The crystal system is cubic.

***

Version x
## InNi3S (GGA-PBE)

Data for crystalline InNi3S at its relaxed geometry.

Cell: 5.2819 5.2819 12.6114 Å, 90.00 90.00 120.00°
Last column: nearest neighbours and their distance in Å.
Positions (direct):
In1 0.0000 0.0000 0.0000  6 Ni 2.64
In2 0.0000 0.0000 0.5000  6 Ni 2.64
In3 0.3333 0.6667 0.2500  6 Ni 2.64
In4 0.6667 0.3333 0.7500  6 Ni 2.64
Ni1 0.0000 0.5000 0.0000  2 S 2.16
Ni2 0.0000 0.5000 0.5000  2 S 2.16
Ni3 0.1617 0.3235 0.7500  2 S 2.26
Ni4 0.1617 0.8383 0.7500  2 S 2.26
Ni5 0.3235 0.1617 0.2500  2 S 2.26
Ni6 0.5000 0.0000 0.0000  2 S 2.16
Ni7 0.5000 0.0000 0.5000  2 S 2.16
Ni8 0.5000 0.5000 0.0000  2 S 2.16
Ni9 0.5000 0.5000 0.5000  2 S 2.16
Ni10 0.6765 0.8383 0.7500  2 S 2.26
Ni11 0.8383 0.1617 0.2500  2 S 2.26
Ni12 0.8383 0.6765 0.2500  2 S 2.26
S1 0.3333 0.6667 0.6216  6 Ni 2.16-2.26
S2 0.3333 0.6667 0.8784  6 Ni 2.16-2.26
S3 0.6667 0.3333 0.1216  6 Ni 2.16-2.26
S4 0.6667 0.3333 0.3784  6 Ni 2.16-2.26

Calculated values
As for the symmetry: P6_3/mmc (194). The crystal system is hexagonal.

***

Version y
## InNi3S (GGA-PBE)

Data for crystalline InNi3S at its relaxed geometry.

Cell: 4.2086 4.2086 4.2086 Å, 90.00 90.00 90.00°
Last column: nearest neighbours and their distance in Å.
Positions (direct):
In1 0.0000 0.0000 0.0000  12 Ni 2.98
Ni1 0.0000 0.5000 0.5000  2 S 2.10
Ni2 0.5000 0.0000 0.5000  2 S 2.10
Ni3 0.5000 0.5000 0.0000  2 S 2.10
S1 0.5000 0.5000 0.5000  6 Ni 2.10

Calculated values
As for the symmetry: Pm-3m (221). The crystal system is cubic.

***

Least stable of them? version w.

***

Version w
## In3NiS (GGA-PBE)

Data for crystalline In3NiS at its relaxed geometry.

Cell: 5.2215 5.2215 5.2215 Å, 90.00 90.00 90.00°
Last column: nearest neighbours and their distance in Å.
Positions (direct):
In1 0.0000 0.0000 0.5000  2 S 2.61
In2 0.0000 0.5000 0.0000  2 S 2.61
In3 0.5000 0.0000 0.0000  2 S 2.61
Ni1 0.5000 0.5000 0.5000  12 In 3.69
S1 0.0000 0.0000 0.0000  6 In 2.61

Calculated values
As for the symmetry: Pm-3m (221). The crystal system is cubic.

***

Version x
## In3NiS (GGA-PBE)

Data for crystalline In3NiS at its relaxed geometry.

Cell: 4.9461 4.9461 4.9461 Å, 90.00 90.00 90.00°
Last column: nearest neighbours and their distance in Å.
Positions (direct):
In1 0.0000 0.0000 0.5000  2 Ni 2.47
In2 0.0000 0.5000 0.0000  2 Ni 2.47
In3 0.5000 0.0000 0.0000  2 Ni 2.47
Ni1 0.0000 0.0000 0.0000  6 In 2.47
S1 0.5000 0.5000 0.5000  12 In 3.50

Calculated values
As for the symmetry: Pm-3m (221). The crystal system is cubic.

***

Least stable of them? version w.

***

Version w
## InNi2S (GGA-PBE)

Data for crystalline InNi2S at its relaxed geometry.

Cell: 7.5707 7.5707 7.5707 Å, 144.88 144.88 50.52°
Last column: nearest neighbours and their distance in Å.
Positions (direct):
In1 0.0000 0.0000 0.0000  4 Ni 2.70
In2 0.7500 0.2500 0.5000  4 Ni 2.70
Ni1 0.2590 0.6250 0.1340  2 S 2.12
Ni2 0.3750 0.5090 0.6340  2 S 2.12
Ni3 0.4910 0.1250 0.8660  2 S 2.12
Ni4 0.8750 0.7410 0.3660  2 S 2.12
S1 0.2500 0.7500 0.5000  4 Ni 2.12
S2 0.5000 0.5000 0.0000  4 Ni 2.12

Calculated values
As for the symmetry: I-42d (122). The crystal system is tetragonal.

***

Version x
## InNi2S (GGA-PBE)

Data for crystalline InNi2S at its relaxed geometry.

Cell: 4.3485 4.3485 4.3485 Å, 60.00 60.00 60.00°
Last column: nearest neighbours and their distance in Å.
Positions (direct):
In1 0.0000 0.0000 0.0000  8 Ni 2.66
Ni1 0.2500 0.2500 0.2500  4 S 2.66, 4 In 2.66
Ni2 0.7500 0.7500 0.7500  4 S 2.66, 4 In 2.66
S1 0.5000 0.5000 0.5000  8 Ni 2.66

Calculated values
As for the symmetry: Fm-3m (225). The crystal system is cubic.

***

Least stable of them? version x.

***

Version w
## InNi2Sb2 (GGA-PBE)

Data for crystalline InNi2Sb2 at its relaxed geometry.

Cell: 6.5005 6.5005 6.5005 Å, 140.95 140.95 56.41°
Last column: nearest neighbours and their distance in Å.
Positions (direct):
In1 0.0000 0.0000 0.0000  8 Sb 3.45, 8 Ni 3.59
Ni1 0.2500 0.7500 0.5000  4 Sb 2.53
Ni2 0.7500 0.2500 0.5000  4 Sb 2.53
Sb1 0.3626 0.3626 0.0000  4 Ni 2.53
Sb2 0.6374 0.6374 0.0000  4 Ni 2.53

Calculated values
As for the symmetry: I4/mmm (139). The crystal system is tetragonal.

***

Version x
## InNi2Sb2 (GGA-PBE)

Data for crystalline InNi2Sb2 at its relaxed geometry.

Cell: 7.1213 7.1213 3.7219 Å, 90.00 90.00 90.00°
Last column: nearest neighbours and their distance in Å.
Positions (direct):
In1 0.0000 0.0000 0.0000  4 Ni 2.80
In2 0.5000 0.5000 0.0000  4 Ni 2.80
Ni1 0.1275 0.3725 0.0000  1 Ni 2.57, 6 Sb 2.79-2.82, 2 In 2.80
Ni2 0.3725 0.8725 0.0000  1 Ni 2.57, 6 Sb 2.79-2.82, 2 In 2.80
Ni3 0.6275 0.1275 0.0000  1 Ni 2.57, 6 Sb 2.79-2.82, 2 In 2.80
Ni4 0.8725 0.6275 0.0000  1 Ni 2.57, 6 Sb 2.79-2.82, 2 In 2.80
Sb1 0.1626 0.6626 0.5000  6 Ni 2.79-2.82
Sb2 0.3374 0.1626 0.5000  6 Ni 2.79-2.82
Sb3 0.6626 0.8374 0.5000  6 Ni 2.79-2.82
Sb4 0.8374 0.3374 0.5000  6 Ni 2.79-2.82

Calculated values
As for the symmetry: P4/mbm (127). The crystal system is tetragonal.

***

Version y
## InNi2Sb2 (GGA-PBE)

Data for crystalline InNi2Sb2 at its relaxed geometry.

Cell: 8.1267 8.1267 3.0550 Å, 90.00 90.00 90.00°
Last column: nearest neighbours and their distance in Å.
Positions (direct):
In1 0.0000 0.0000 0.0000  2 In 3.05, 4 Sb 3.09
In2 0.5000 0.5000 0.0000  2 In 3.05, 4 Sb 3.09
Ni1 0.1173 0.3827 0.5000  4 Sb 2.68, 1 Ni 2.70
Ni2 0.3827 0.8827 0.5000  4 Sb 2.68, 1 Ni 2.70
Ni3 0.6173 0.1173 0.5000  4 Sb 2.68, 1 Ni 2.70
Ni4 0.8827 0.6173 0.5000  4 Sb 2.68, 1 Ni 2.70
Sb1 0.1521 0.6521 0.0000  4 Ni 2.68
Sb2 0.3479 0.1521 0.0000  4 Ni 2.68
Sb3 0.6521 0.8479 0.0000  4 Ni 2.68
Sb4 0.8479 0.3479 0.0000  4 Ni 2.68

Calculated values
As for the symmetry: P4/mbm (127). The crystal system is tetragonal.

***

Least stable of them? version y.

***

Version w
## InNiSb3 (GGA-PBE)

Data for crystalline InNiSb3 at its relaxed geometry.

Cell: 5.5438 5.5438 5.5438 Å, 90.00 90.00 90.00°
Last column: nearest neighbours and their distance in Å.
Positions (direct):
In1 0.0000 0.0000 0.0000  6 Sb 2.77
Ni1 0.5000 0.5000 0.5000  12 Sb 3.92
Sb1 0.0000 0.0000 0.5000  2 In 2.77
Sb2 0.0000 0.5000 0.0000  2 In 2.77
Sb3 0.5000 0.0000 0.0000  2 In 2.77

Calculated values
As for the symmetry: Pm-3m (221). The crystal system is cubic.

***

Version x
## InNiSb3 (GGA-PBE)

Data for crystalline InNiSb3 at its relaxed geometry.

Cell: 5.0697 5.0697 5.0697 Å, 90.00 90.00 90.00°
Last column: nearest neighbours and their distance in Å.
Positions (direct):
In1 0.0000 0.0000 0.0000  12 Sb 3.58
Ni1 0.5000 0.5000 0.5000  6 Sb 2.53
Sb1 0.0000 0.5000 0.5000  2 Ni 2.53
Sb2 0.5000 0.0000 0.5000  2 Ni 2.53
Sb3 0.5000 0.5000 0.0000  2 Ni 2.53

Calculated values
As for the symmetry: Pm-3m (221). The crystal system is cubic.

***

Least stable of them? version w.

***

Version w
## InNi4Sb (GGA-PBE)

Data for crystalline InNi4Sb at its relaxed geometry.

Cell: 4.9525 4.9525 4.9525 Å, 60.00 60.00 60.00°
Last column: nearest neighbours and their distance in Å.
Positions (direct):
In1 0.0000 0.0000 0.0000  12 Ni 2.90, 4 Sb 3.03
Ni1 0.1246 0.6251 0.6251  6 Ni 2.47-2.48
Ni2 0.6251 0.1246 0.6251  6 Ni 2.47-2.48
Ni3 0.6251 0.6251 0.1246  6 Ni 2.47-2.48
Ni4 0.6251 0.6251 0.6251  6 Ni 2.47-2.48
Sb1 0.2500 0.2500 0.2500  12 Ni 2.90, 4 In 3.03

Calculated values
As for the symmetry: F-43m (216). The crystal system is cubic.

***

Version x
## InNi4Sb (GGA-PBE)

Data for crystalline InNi4Sb at its relaxed geometry.

Cell: 9.0879 9.0879 5.1953 Å, 90.00 90.00 156.05°
Last column: nearest neighbours and their distance in Å.
Positions (direct):
In1 0.2295 0.7705 0.7500  7 Ni 2.66-2.83
In2 0.7705 0.2295 0.2500  7 Ni 2.66-2.83
Ni1 0.0701 0.9299 0.7500  8 Ni 2.59-2.61, 3 Sb 2.60-2.68, 1 In 2.83
Ni2 0.3580 0.6420 0.0140  5 Ni 2.45-2.74, 2 Sb 2.58, 3 In 2.66-2.73
Ni3 0.3580 0.6420 0.4860  5 Ni 2.45-2.74, 2 Sb 2.58, 3 In 2.66-2.73
Ni4 0.5000 0.5000 0.0000  8 Ni 2.53-2.61, 4 Sb 2.70
Ni5 0.5000 0.5000 0.5000  8 Ni 2.53-2.61, 4 Sb 2.70
Ni6 0.6420 0.3580 0.5140  5 Ni 2.45-2.74, 2 Sb 2.58, 3 In 2.66-2.73
Ni7 0.6420 0.3580 0.9860  5 Ni 2.45-2.74, 2 Sb 2.58, 3 In 2.66-2.73
Ni8 0.9299 0.0701 0.2500  8 Ni 2.59-2.61, 3 Sb 2.60-2.68, 1 In 2.83
Sb1 0.0805 0.9195 0.2500  11 Ni 2.58-2.70
Sb2 0.9195 0.0805 0.7500  11 Ni 2.58-2.70

Calculated values
As for the symmetry: Cmcm (63). The crystal system is orthorhombic.

***

Least stable of them? version w.

***

Version w
## Sc8InNi2 (GGA-PBE)

Data for crystalline Sc8InNi2 at its relaxed geometry.

Cell: 8.4577 8.4577 8.7113 Å, 99.62 99.62 22.81°
Last column: nearest neighbours and their distance in Å.
Positions (direct):
Sc1 0.0256 0.0256 0.1865  8 Sc 3.14-3.34, 2 In 3.29, 1 Ni 3.50
Sc2 0.1420 0.1420 0.6914  2 Ni 2.61
Sc3 0.3226 0.3226 0.6107  2 Ni 2.58
Sc4 0.3435 0.3435 0.9894  3 Ni 2.65-2.84
Sc5 0.6565 0.6565 0.0106  3 Ni 2.65-2.84
Sc6 0.6774 0.6774 0.3893  2 Ni 2.58
Sc7 0.8580 0.8580 0.3086  2 Ni 2.61
Sc8 0.9744 0.9744 0.8135  8 Sc 3.14-3.34, 2 In 3.29, 1 Ni 3.50
In1 0.5000 0.5000 0.5000  10 Sc 3.13-3.29, 2 In 3.34
Ni1 0.2390 0.2390 0.2163  7 Sc 2.58-2.84
Ni2 0.7610 0.7610 0.7837  7 Sc 2.58-2.84

Calculated values
As for the symmetry: C2/m (12). The crystal system is monoclinic.

***

Version x
## Sc8InNi2 (GGA-PBE)

Data for crystalline Sc8InNi2 at its relaxed geometry.

Cell: 7.4814 7.4814 4.8344 Å, 97.60 97.60 113.61°
Last column: nearest neighbours and their distance in Å.
Positions (direct):
Sc1 0.1091 0.1091 0.8024  2 Ni 2.81, 4 Sc 2.91-3.12, 1 In 3.11
Sc2 0.1718 0.4274 0.4238  2 Ni 2.68-2.80
Sc3 0.2502 0.7498 0.0000  2 Ni 2.54
Sc4 0.4274 0.1718 0.4238  2 Ni 2.68-2.80
Sc5 0.5726 0.8282 0.5762  2 Ni 2.68-2.80
Sc6 0.7498 0.2502 0.0000  2 Ni 2.54
Sc7 0.8282 0.5726 0.5762  2 Ni 2.68-2.80
Sc8 0.8909 0.8909 0.1976  2 Ni 2.81, 4 Sc 2.91-3.12, 1 In 3.11
In1 0.5000 0.5000 0.0000  12 Sc 3.11-3.33
Ni1 0.1884 0.8116 0.5000  8 Sc 2.54-2.81
Ni2 0.8116 0.1884 0.5000  8 Sc 2.54-2.81

Calculated values
As for the symmetry: C2/m (12). The crystal system is monoclinic.

***

Least stable of them? version x.